## Cs2RbPdPb (PBE)

Data for crystalline Cs2RbPdPb at its relaxed geometry.

The structure in POSCAR format:
```
Cs2RbPdPb
1.0
-6.280 -2.776 0.487
2.788 -6.293 0.084
0.325 0.217 5.435
Rb Pb Cs Pd
1 1 2 1
Direct
0.500 0.500 0.500 Rb
0.000 0.000 0.500 Pb
0.000 0.500 0.000 Cs
0.500 0.000 0.000 Cs
0.000 0.000 0.000 Pd
```

Summary:
Total magnetization, μB/f.u.: 0.0
Space group: P4/mmm
Formation energy from the elements, meV/atom: -5